(A)
## LiGd2V (GGA-PBE)

Data for crystalline LiGd2V at its relaxed geometry.

## Properties
Fermi-level density of states, states/eV/cell: 5.1

abc: 11.3807 11.3807 11.3807
angles: 16.39 16.39 16.39
Positions (direct):
Li (0.0000, 0.0000, 0.0000)
Gd (0.4201, 0.4201, 0.4201)
Gd (0.5799, 0.5799, 0.5799)
V (0.5000, 0.5000, 0.5000)

---

(B)
## LiGd2V (GGA-PBE)

Data for crystalline LiGd2V at its relaxed geometry.

## Properties
Fermi-level density of states, states/eV/cell: 3.0

abc: 3.5829 3.5829 7.8629
angles: 90.00 90.00 90.00
Positions (direct):
Li (0.0000, 0.0000, 0.0000)
Gd (0.5000, 0.5000, 0.2800)
Gd (0.5000, 0.5000, 0.7200)
V (0.0000, 0.0000, 0.5000)

---

Short version: (B), (A), most stable first.

---

(A)
## LiGdY2 (GGA-PBE)

Data for crystalline LiGdY2 at its relaxed geometry.

## Properties
Fermi-level density of states, states/eV/cell: 5.0

abc: 12.1818 12.1818 12.1818
angles: 16.13 16.13 16.13
Positions (direct):
Li (0.0000, 0.0000, 0.0000)
Gd (0.5000, 0.5000, 0.5000)
Y (0.4081, 0.4081, 0.4081)
Y (0.5919, 0.5919, 0.5919)

---

(B)
## LiGdY2 (GGA-PBE)

Data for crystalline LiGdY2 at its relaxed geometry.

## Properties
Fermi-level density of states, states/eV/cell: 6.4

abc: 3.6245 3.6245 8.8687
angles: 90.00 90.00 90.00
Positions (direct):
Li (0.0000, 0.0000, 0.0000)
Gd (0.0000, 0.0000, 0.5000)
Y (0.5000, 0.5000, 0.2193)
Y (0.5000, 0.5000, 0.7807)

---

Short version: (B), (A), most stable first.

---

(A)
## LiGdY2 (GGA-PBE)

Data for crystalline LiGdY2 at its relaxed geometry.

## Properties
Fermi-level density of states, states/eV/cell: 4.7

abc: 5.5081 5.5081 5.5081
angles: 60.00 60.00 60.00
Positions (direct):
Li (0.0000, 0.0000, 0.0000)
Gd (0.5000, 0.5000, 0.5000)
Y (0.2500, 0.2500, 0.2500)
Y (0.7500, 0.7500, 0.7500)

---

(B)
## LiGdY2 (GGA-PBE)

Data for crystalline LiGdY2 at its relaxed geometry.

## Properties
Fermi-level density of states, states/eV/cell: 6.2

abc: 5.6315 5.6315 3.7437
angles: 90.00 90.00 90.00
Positions (direct):
Li (0.0000, 0.0000, 0.0000)
Gd (0.5000, 0.5000, 0.0000)
Y (0.0000, 0.5000, 0.5000)
Y (0.5000, 0.0000, 0.5000)

---

Short version: (B), (A), most stable first.